#1
Entry from the Alexandria database: an optimized crystal structure of Ba2ScMn (PBEsol).

The space group is Immm (No. 71) and the conventional cell measures 3.779, 5.376 and 12.288 Å, with angles of 90.00, 90.00 and 90.00 degrees. The inequivalent atoms are Ba at (0.000, 0.000, 0.201), Sc at (0.000, 0.500, 0.000) and Mn at (0.000, 0.500, 0.500).

#2
Entry from the Alexandria database: an optimized crystal structure of Ba2ScMn (PBEsol).

The space group is R-3m (No. 166, hexagonal axes) and the conventional cell measures 3.6597, 3.6597 and 33.4681 Å, with angles of 90.00, 90.00 and 120.00 degrees. The inequivalent atoms are Ba at (0.0000, 0.0000, 0.2420), Sc at (0.0000, 0.0000, 0.0000) and Mn at (0.0000, 0.0000, 0.5000).

Of the structures shown above, #1 is the most stable.